(1)
Compound: HfAl2Hg
Source: Alexandria via LeMat-Bulk
Functional: GGA-PBE
Structure: relaxed

As for the formation energy from the elements: 16 kJ per mole of atoms. The symmetry is I-42d, No. 122. The total DFT energy (no corrections) is -4.266 eV/atom. For the volume, the calculation gives 20.544 Å³ per atom. As for the magnetization: 0.0 μB/cell.

Cell: 6.0575 6.0575 6.0575 Å, 103.38 103.38 122.50°
Fractional positions:
Hf: 0.0000 0.0000 0.0000
Hf: 0.7500 0.2500 0.5000
Al: 0.1488 0.6250 0.0238
Al: 0.3750 0.3988 0.5238
Al: 0.6012 0.1250 0.9762
Al: 0.8750 0.8512 0.4762
Hg: 0.2500 0.7500 0.5000
Hg: 0.5000 0.5000 0.0000

---

(2)
Compound: LiHfAlHg
Source: Alexandria via LeMat-Bulk
Functional: GGA-PBE
Structure: relaxed

As for the formation energy from the elements: -11 kJ per mole of atoms. The symmetry is F-43m, No. 216. The total DFT energy (no corrections) is -4.092 eV/atom. For the volume, the calculation gives 18.976 Å³ per atom. As for the magnetization: 0.0 μB/cell.

Cell: 4.7526 4.7526 4.7526 Å, 60.00 60.00 60.00°
Fractional positions:
Li: 0.0000 0.0000 0.0000
Hf: 0.5000 0.5000 0.5000
Al: 0.2500 0.2500 0.2500
Hg: 0.7500 0.7500 0.7500

---

(3)
Compound: NaHf2AlHg
Source: Alexandria via LeMat-Bulk
Functional: GGA-PBE
Structure: relaxed

As for the formation energy from the elements: 77 kJ per mole of atoms. The symmetry is P4/mmm, No. 123. The total DFT energy (no corrections) is -4.252 eV/atom. For the volume, the calculation gives 26.231 Å³ per atom. As for the magnetization: 0.0 μB/cell.

Cell: 5.1226 5.1226 4.9980 Å, 90.00 90.00 90.00°
Fractional positions:
Na: 0.0000 0.0000 0.0000
Hf: 0.0000 0.5000 0.5000
Hf: 0.5000 0.0000 0.5000
Al: 0.5000 0.5000 0.5000
Hg: 0.5000 0.5000 0.0000

---

(4)
Compound: HfAl2NiHg
Source: Alexandria via LeMat-Bulk
Functional: GGA-PBE
Structure: relaxed

As for the formation energy from the elements: 86 kJ per mole of atoms. The symmetry is P4/mmm, No. 123. The total DFT energy (no corrections) is -3.817 eV/atom. For the volume, the calculation gives 21.770 Å³ per atom. As for the magnetization: 0.0 μB/cell.

Cell: 4.8096 4.8096 4.7055 Å, 90.00 90.00 90.00°
Fractional positions:
Hf: 0.0000 0.0000 0.0000
Al: 0.0000 0.5000 0.5000
Al: 0.5000 0.0000 0.5000
Ni: 0.5000 0.5000 0.0000
Hg: 0.5000 0.5000 0.5000

---

(5)
Compound: HfAlHgOs2
Source: Alexandria via LeMat-Bulk
Functional: GGA-PBE
Structure: relaxed

As for the formation energy from the elements: 177 kJ per mole of atoms. The symmetry is P4/mmm, No. 123. The total DFT energy (no corrections) is -5.462 eV/atom. For the volume, the calculation gives 25.181 Å³ per atom. As for the magnetization: 1.1 μB/cell.

Cell: 4.8483 4.8483 5.3562 Å, 90.00 90.00 90.00°
Fractional positions:
Hf: 0.0000 0.0000 0.0000
Al: 0.5000 0.5000 0.5000
Hg: 0.0000 0.0000 0.5000
Os: 0.0000 0.5000 0.0000
Os: 0.5000 0.0000 0.0000

---

(6)
Compound: HfAlSn2Hg
Source: Alexandria via LeMat-Bulk
Functional: GGA-PBE
Structure: relaxed

As for the formation energy from the elements: 90 kJ per mole of atoms. The symmetry is P4/mmm, No. 123. The total DFT energy (no corrections) is -3.464 eV/atom. For the volume, the calculation gives 29.034 Å³ per atom. As for the magnetization: 0.0 μB/cell.

Cell: 5.4996 5.4996 4.7997 Å, 90.00 90.00 90.00°
Fractional positions:
Hf: 0.0000 0.0000 0.0000
Al: 0.5000 0.5000 0.0000
Sn: 0.0000 0.5000 0.5000
Sn: 0.5000 0.0000 0.5000
Hg: 0.5000 0.5000 0.5000

---

(7)
Compound: HfAlTcHg2
Source: Alexandria via LeMat-Bulk
Functional: GGA-PBE
Structure: relaxed

As for the formation energy from the elements: 75 kJ per mole of atoms. The symmetry is P4/mmm, No. 123. The total DFT energy (no corrections) is -4.158 eV/atom. For the volume, the calculation gives 26.892 Å³ per atom. As for the magnetization: 0.0 μB/cell.

Cell: 5.3165 5.3165 4.7571 Å, 90.00 90.00 90.00°
Fractional positions:
Hf: 0.0000 0.0000 0.0000
Al: 0.5000 0.5000 0.0000
Tc: 0.0000 0.0000 0.5000
Hg: 0.0000 0.5000 0.5000
Hg: 0.5000 0.0000 0.5000

---

(8)
Compound: HfAlHg2Te
Source: Alexandria via LeMat-Bulk
Functional: GGA-PBE
Structure: relaxed

The calculation puts the raw formation energy at 0.6170 eV/atom. The symmetry is P4/mmm, No. 123. The total DFT energy (no corrections) is -2.871 eV/atom. For the volume, the calculation gives 27.270 Å³ per atom. As for the magnetization: 0.0 μB/cell.

Cell: 4.9773 4.9773 5.5039 Å, 90.00 90.00 90.00°
Fractional positions:
Hf: 0.0000 0.0000 0.0000
Al: 0.5000 0.5000 0.5000
Hg: 0.0000 0.5000 0.5000
Hg: 0.5000 0.0000 0.5000
Te: 0.5000 0.5000 0.0000

---

(9)
Compound: HfZrAlHg
Source: Alexandria via LeMat-Bulk
Functional: GGA-PBE
Structure: relaxed

As for the formation energy from the elements: -12 kJ per mole of atoms. The symmetry is F-43m, No. 216. The total DFT energy (no corrections) is -5.761 eV/atom. For the volume, the calculation gives 20.455 Å³ per atom. The energy above the most stable polymorph in this dataset comes out at 139 meV per atom. As for the magnetization: 0.0 μB/cell.

Cell: 4.8729 4.8729 4.8729 Å, 60.00 60.00 60.00°
Fractional positions:
Hf: 0.0000 0.0000 0.0000
Zr: 0.5000 0.5000 0.5000
Al: 0.2500 0.2500 0.2500
Hg: 0.7500 0.7500 0.7500

---

(10)
Compound: HfZrAlHg
Source: Alexandria via LeMat-Bulk
Functional: GGA-PBE
Structure: relaxed

As for the formation energy from the elements: -25 kJ per mole of atoms. The symmetry is P4mm, No. 99. The total DFT energy (no corrections) is -5.900 eV/atom. For the volume, the calculation gives 20.106 Å³ per atom. The energy above the most stable polymorph in this dataset comes out at 0 meV per atom. As for the magnetization: 0.0 μB/cell.

Cell: 3.0258 3.0258 8.7847 Å, 90.00 90.00 90.00°
Fractional positions:
Hf: 0.0000 0.0000 0.0000
Zr: 0.0000 0.0000 0.4599
Al: 0.5000 0.5000 0.2276
Hg: 0.5000 0.5000 0.7321

---

(11)
Compound: HoHfAl3
Source: Alexandria via LeMat-Bulk
Functional: GGA-PBE
Structure: relaxed

As for the formation energy from the elements: -24 kJ per mole of atoms. The symmetry is Cmcm, No. 63. The total DFT energy (no corrections) is -5.400 eV/atom. For the volume, the calculation gives 20.631 Å³ per atom. As for the magnetization: 0.0 μB/cell.

Cell: 7.5268 7.5268 5.1777 Å, 90.00 90.00 135.30°
Fractional positions:
Ho: 0.0850 0.9150 0.7500
Ho: 0.9150 0.0850 0.2500
Hf: 0.3085 0.6915 0.2500
Hf: 0.6915 0.3085 0.7500
Al: 0.1173 0.3983 0.7500
Al: 0.3983 0.1173 0.2500
Al: 0.5000 0.5000 0.0000
Al: 0.5000 0.5000 0.5000
Al: 0.6017 0.8827 0.7500
Al: 0.8827 0.6017 0.2500

---

(12)
Compound: Ho2HfAl3
Source: Alexandria via LeMat-Bulk
Functional: GGA-PBE
Structure: relaxed

As for the formation energy from the elements: -12 kJ per mole of atoms. The symmetry is Cmcm, No. 63. The total DFT energy (no corrections) is -5.182 eV/atom. For the volume, the calculation gives 23.281 Å³ per atom. As for the magnetization: 0.0 μB/cell.

Cell: 7.4598 7.4598 5.1306 Å, 90.00 90.00 78.09°
Fractional positions:
Ho: 0.0829 0.6469 0.7500
Ho: 0.3531 0.9171 0.7500
Ho: 0.6469 0.0829 0.2500
Ho: 0.9171 0.3531 0.2500
Hf: 0.4090 0.5910 0.2500
Hf: 0.5910 0.4090 0.7500
Al: 0.0855 0.9145 0.2500
Al: 0.2897 0.2897 0.0000
Al: 0.2897 0.2897 0.5000
Al: 0.7103 0.7103 0.0000
Al: 0.7103 0.7103 0.5000
Al: 0.9145 0.0855 0.7500